Entry 1:
Y5Br | PBE | optimized geometry

a b c (Å): 9.3174 9.3174 5.7286
angles (deg): 90.00 90.00 157.30
Fractional coordinates of all 6 atoms:
Y: 0.1083 0.8917 0.5000
Y: 0.3211 0.6789 0.0000
Y: 0.4434 0.5566 0.5000
Y: 0.7730 0.2270 0.5000
Y: 0.6585 0.3415 0.0000
Br: 0.0290 0.9710 0.0000

Computed properties:
Space-group type: No. 38
Energy relative to the elements, uncorrected in eV/atom: -0.160
N(E_F) in states/eV/cell: 8.9
Calculated density in g/cm3: 4.538
Calculated total energy in eV/atom: -5.826
Offset from the most stable computed form in meV per atom: 93

=====

Entry 2:
Y3Br | PBE | optimized geometry

a b c (Å): 6.3715 6.3715 6.3715
angles (deg): 136.45 136.45 63.29
Fractional coordinates of all 4 atoms:
Y: 0.7500 0.2500 0.5000
Y: 0.2500 0.7500 0.5000
Y: 0.5000 0.5000 0.0000
Br: 0.0000 0.0000 0.0000

Computed properties:
Space-group type: No. 139
Energy relative to the elements, uncorrected in eV/atom: -0.035
N(E_F) in states/eV/cell: 6.9
Calculated density in g/cm3: 4.748
Calculated total energy in eV/atom: -5.301
Offset from the most stable computed form in meV per atom: 520

=====

Entry 3:
Y3Br | PBE | optimized geometry

a b c (Å): 3.6637 3.6637 10.1864
angles (deg): 90.00 90.00 120.00
Fractional coordinates of all 4 atoms:
Y: 0.0000 0.0000 0.5000
Y: 0.6667 0.3333 0.2244
Y: 0.6667 0.3333 0.7756
Br: 0.0000 0.0000 0.0000

Computed properties:
Space-group type: No. 187
Energy relative to the elements, uncorrected in eV/atom: -0.555
N(E_F) in states/eV/cell: 5.4
Calculated density in g/cm3: 4.861
Calculated total energy in eV/atom: -5.822
Offset from the most stable computed form in meV per atom: 0

=====

Entry 4:
Y5Br | PBE | optimized geometry

a b c (Å): 8.7368 8.7368 5.9632
angles (deg): 90.00 90.00 155.92
Fractional coordinates of all 6 atoms:
Y: 0.3281 0.6719 0.5000
Y: 0.6719 0.3281 0.5000
Y: 0.8392 0.1608 0.0000
Y: 0.1608 0.8392 0.0000
Y: 0.0000 0.0000 0.5000
Br: 0.5000 0.5000 0.0000

Computed properties:
Space-group type: No. 65
Energy relative to the elements, uncorrected in eV/atom: -0.121
N(E_F) in states/eV/cell: 10.5
Calculated density in g/cm3: 4.690
Calculated total energy in eV/atom: -5.786
Offset from the most stable computed form in meV per atom: 133

=====

Entry 5:
Y3Br | PBE | optimized geometry

a b c (Å): 5.5641 5.5641 5.5641
angles (deg): 60.00 60.00 60.00
Fractional coordinates of all 4 atoms:
Y: 0.7500 0.7500 0.7500
Y: 0.5000 0.5000 0.5000
Y: 0.2500 0.2500 0.2500
Br: 0.0000 0.0000 0.0000

Computed properties:
Space-group type: No. 225
Energy relative to the elements, uncorrected in eV/atom: 0.144
N(E_F) in states/eV/cell: 6.5
Calculated density in g/cm3: 4.725
Calculated total energy in eV/atom: -5.122
Offset from the most stable computed form in meV per atom: 699

=====

Entry 6:
YBr3 | PBE | optimized geometry

a b c (Å): 12.6933 12.6933 12.6933
angles (deg): 18.57 18.57 18.57
Fractional coordinates of all 4 atoms:
Y: 0.0000 0.0000 0.0000
Br: 0.9312 0.9312 0.9312
Br: 0.0688 0.0688 0.0688
Br: 0.5000 0.5000 0.5000

Computed properties:
Space-group type: No. 166
Energy relative to the elements, uncorrected in eV/atom: -0.386
N(E_F) in states/eV/cell: 3.6
Calculated density in g/cm3: 3.012
Calculated total energy in eV/atom: -3.257

=====

- Which of these has the highest calculated total energy?
  YBr3

=====

- Number 5 is which compound?
  Y3Br

=====

- The lowest calculated density belongs to which entry?
  YBr3

=====

Copy entry 3 word for word.
Y3Br | PBE | optimized geometry

a b c (Å): 3.6637 3.6637 10.1864
angles (deg): 90.00 90.00 120.00
Fractional coordinates of all 4 atoms:
Y: 0.0000 0.0000 0.5000
Y: 0.6667 0.3333 0.2244
Y: 0.6667 0.3333 0.7756
Br: 0.0000 0.0000 0.0000

Computed properties:
Space-group type: No. 187
Energy relative to the elements, uncorrected in eV/atom: -0.555
N(E_F) in states/eV/cell: 5.4
Calculated density in g/cm3: 4.861
Calculated total energy in eV/atom: -5.822
Offset from the most stable computed form in meV per atom: 0